Ba2SbRh | PBE | relaxed

Cell: 4.6301 4.2611 6.6501 Å, 90.00 99.63 90.00°
Sites, in units of the cell vectors:
Ba 0.0978 0.0000 0.2625
Ba 0.9022 0.0000 0.7375
Sb 0.5000 0.5000 0.0000
Rh 0.5000 0.5000 0.5000

Density of states at the Fermi level = 1.70 states/eV/f.u.
Space group = No. 10
Uncorrected formation energy = -0.32 eV/atom



OsC3S | PBE | relaxed

Cell: 4.0259 4.0259 4.0259 Å, 90.00 90.00 90.00°
Sites, in units of the cell vectors:
Os 0.0000 0.0000 0.0000
C 0.0000 0.0000 0.5000
C 0.0000 0.5000 0.0000
C 0.5000 0.0000 0.0000
S 0.5000 0.5000 0.5000

Density of states at the Fermi level = 2.13 states/eV/f.u.
Space group = No. 221
Uncorrected formation energy = 2.16 eV/atom



NdScGaAu | PBE | relaxed

Cell: 5.0578 5.0578 5.0578 Å, 60.00 60.00 60.00°
Sites, in units of the cell vectors:
Nd 0.0000 0.0000 0.0000
Sc 0.5000 0.5000 0.5000
Ga 0.7500 0.7500 0.7500
Au 0.2500 0.2500 0.2500

Calculated formation energy = -0.61 eV/atom
Density of states at the Fermi level = 3.98 states/eV/f.u.
Space group = No. 216



ScCr2Pt | PBE | relaxed

Cell: 9.0871 9.0871 9.0871 Å, 17.64 17.64 17.64°
Sites, in units of the cell vectors:
Sc 0.0000 0.0000 0.0000
Cr 0.2463 0.2463 0.2463
Cr 0.7537 0.7537 0.7537
Pt 0.5000 0.5000 0.5000

Calculated formation energy = 0.35 eV/atom
Density of states at the Fermi level = 5.71 states/eV/f.u.
Space group = No. 166



Nd2Ga3Sn | PBE | relaxed

Cell: 4.3131 4.3727 7.6277 Å, 90.00 90.00 90.00°
Sites, in units of the cell vectors:
Nd 0.0000 0.0000 0.0000
Nd 0.0000 0.5000 0.4852
Ga 0.5000 0.0000 0.3197
Ga 0.5000 0.0000 0.6396
Ga 0.5000 0.5000 0.1731
Sn 0.5000 0.5000 0.8282

Calculated formation energy = -0.65 eV/atom
Density of states at the Fermi level = 1.93 states/eV/f.u.
Space group = No. 25



TlIr2W | PBE | relaxed

Cell: 4.8469 4.8469 5.0880 Å, 98.21 98.21 34.58°
Sites, in units of the cell vectors:
Tl 0.0000 0.0000 0.0000
Ir 0.2433 0.2433 0.7240
Ir 0.7567 0.7567 0.2760
W 0.5000 0.5000 0.5000

Calculated formation energy = 0.44 eV/atom
Density of states at the Fermi level = 3.80 states/eV/f.u.
Space group = No. 12



NaPtIO2 | PBE | relaxed

Cell: 4.0452 4.0452 5.8871 Å, 90.00 90.00 90.00°
Sites, in units of the cell vectors:
Na 0.0000 0.0000 0.0000
Pt 0.5000 0.5000 0.5000
I 0.5000 0.5000 0.0000
O 0.0000 0.5000 0.5000
O 0.5000 0.0000 0.5000

Density of states at the Fermi level = 2.98 states/eV/f.u.
Space group = No. 123
Uncorrected formation energy = -0.32 eV/atom



Nd3MgPt | PBE | relaxed

Cell: 9.8132 9.1678 6.0222 Å, 77.44 65.76 36.80°
Sites, in units of the cell vectors:
Nd 0.2020 0.5841 0.4159
Nd 0.2044 0.2044 0.7956
Nd 0.4159 0.7980 0.2020
Nd 0.5841 0.2020 0.7980
Nd 0.7956 0.7956 0.2044
Nd 0.7980 0.4159 0.5841
Mg 0.2000 0.8000 0.8000
Mg 0.8000 0.2000 0.2000
Pt 0.2500 0.2500 0.2500
Pt 0.7500 0.7500 0.7500

Calculated formation energy = -0.47 eV/atom
Density of states at the Fermi level = 4.33 states/eV/f.u.
Space group = No. 69



SrCdFe2 | PBE | relaxed

Cell: 5.3644 5.3644 2.9614 Å, 95.17 95.17 110.57°
Sites, in units of the cell vectors:
Sr 0.0000 0.0000 0.0000
Cd 0.5000 0.5000 0.0000
Fe 0.0000 0.5000 0.5000
Fe 0.5000 0.0000 0.5000

Calculated formation energy = 0.81 eV/atom
Density of states at the Fermi level = 5.67 states/eV/f.u.
Space group = No. 12



SmErTlCo | PBE | relaxed

Cell: 5.1416 5.1416 5.1416 Å, 60.00 60.00 60.00°
Sites, in units of the cell vectors:
Sm 0.0000 0.0000 0.0000
Er 0.5000 0.5000 0.5000
Tl 0.2500 0.2500 0.2500
Co 0.7500 0.7500 0.7500

Calculated formation energy = -0.10 eV/atom
Density of states at the Fermi level = 2.20 states/eV/f.u.
Space group = No. 216



AlSb2Mo | PBE | relaxed

Cell: 3.2993 3.3223 7.6770 Å, 90.00 90.00 90.00°
Sites, in units of the cell vectors:
Al 0.0000 0.0000 0.0000
Sb 0.5000 0.5000 0.2841
Sb 0.5000 0.5000 0.7159
Mo 0.0000 0.0000 0.5000

Density of states at the Fermi level = 3.29 states/eV/f.u.
Space group = No. 47
Uncorrected formation energy = 0.21 eV/atom



Be2SiSb | PBE | relaxed

Cell: 3.9915 4.2067 4.2067 Å, 67.85 90.00 90.00°
Sites, in units of the cell vectors:
Be 0.0000 0.0000 0.0000
Be 0.5000 0.1516 0.1516
Si 0.5000 0.8168 0.8168
Sb 0.0000 0.3664 0.3664

Density of states at the Fermi level = 1.09 states/eV/f.u.
Space group = No. 38
Uncorrected formation energy = 0.35 eV/atom



ErFe5Si3 | PBE | relaxed

Cell: 6.3866 6.3866 10.4110 Å, 90.00 90.00 144.69°
Sites, in units of the cell vectors:
Er 0.2012 0.7988 0.7500
Er 0.7988 0.2012 0.2500
Fe 0.0000 0.0000 0.0000
Fe 0.0000 0.0000 0.5000
Fe 0.1867 0.8133 0.0562
Fe 0.1867 0.8133 0.4438
Fe 0.4618 0.5382 0.6406
Fe 0.4618 0.5382 0.8594
Fe 0.5382 0.4618 0.1406
Fe 0.5382 0.4618 0.3594
Fe 0.8133 0.1867 0.5562
Fe 0.8133 0.1867 0.9438
Si 0.0954 0.9046 0.2500
Si 0.3678 0.6322 0.0499
Si 0.3678 0.6322 0.4501
Si 0.6322 0.3678 0.5499
Si 0.6322 0.3678 0.9501
Si 0.9046 0.0954 0.7500

Density of states at the Fermi level = 8.11 states/eV/f.u.
Space group = No. 63
Uncorrected formation energy = -0.42 eV/atom



LiAcSe2 | PBE | relaxed

Cell: 7.0799 4.4794 7.8421 Å, 90.00 93.51 90.00°
Sites, in units of the cell vectors:
Li 0.0958 0.0000 0.3085
Li 0.9042 0.0000 0.6915
Ac 0.5000 0.0000 0.0000
Ac 0.5000 0.5000 0.5000
Se 0.2562 0.5000 0.1596
Se 0.2570 0.0000 0.6460
Se 0.7430 0.0000 0.3540
Se 0.7438 0.5000 0.8404

Density of states at the Fermi level = 0.00 states/eV/f.u.
Space group = No. 10
Uncorrected formation energy = -1.68 eV/atom



HoPaZn4 | PBE | relaxed

Cell: 3.2881 4.5358 7.8508 Å, 90.00 90.00 90.00°
Sites, in units of the cell vectors:
Ho 0.0000 0.0000 0.0000
Pa 0.0000 0.5000 0.5000
Zn 0.5000 0.0000 0.3311
Zn 0.5000 0.0000 0.6689
Zn 0.5000 0.5000 0.1648
Zn 0.5000 0.5000 0.8352

Calculated formation energy = -0.22 eV/atom
Density of states at the Fermi level = 6.72 states/eV/f.u.
Space group = No. 47



Th2Cd15Hg2 | PBE | relaxed

Cell: 7.6610 7.6610 7.6610 Å, 82.87 82.87 82.87°
Sites, in units of the cell vectors:
Th 0.1675 0.1675 0.1675
Th 0.8325 0.8325 0.8325
Cd 0.0000 0.5000 0.5000
Cd 0.1382 0.1382 0.6640
Cd 0.1382 0.6640 0.1382
Cd 0.1990 0.5000 0.8010
Cd 0.1990 0.8010 0.5000
Cd 0.3360 0.8618 0.8618
Cd 0.5000 0.0000 0.5000
Cd 0.5000 0.1990 0.8010
Cd 0.5000 0.5000 0.0000
Cd 0.5000 0.8010 0.1990
Cd 0.6640 0.1382 0.1382
Cd 0.8010 0.1990 0.5000
Cd 0.8010 0.5000 0.1990
Cd 0.8618 0.3360 0.8618
Cd 0.8618 0.8618 0.3360
Hg 0.3941 0.3941 0.3941
Hg 0.6059 0.6059 0.6059

Calculated formation energy = -0.06 eV/atom
Density of states at the Fermi level = 8.74 states/eV/f.u.
Space group = No. 166



Ni2Te2Pd | PBE | relaxed

Cell: 6.9848 6.9848 3.5181 Å, 90.00 90.00 90.00°
Sites, in units of the cell vectors:
Ni 0.1272 0.3728 0.0000
Ni 0.3728 0.8728 0.0000
Ni 0.6272 0.1272 0.0000
Ni 0.8728 0.6272 0.0000
Te 0.1737 0.6737 0.5000
Te 0.3263 0.1737 0.5000
Te 0.6737 0.8263 0.5000
Te 0.8263 0.3263 0.5000
Pd 0.0000 0.0000 0.0000
Pd 0.5000 0.5000 0.0000

Density of states at the Fermi level = 3.89 states/eV/f.u.
Space group = No. 127
Uncorrected formation energy = -0.03 eV/atom



BaMg2Te | PBE | relaxed

Cell: 9.2916 9.2916 9.2916 Å, 27.62 27.62 27.62°
Sites, in units of the cell vectors:
Ba 0.0000 0.0000 0.0000
Mg 0.2271 0.2271 0.2271
Mg 0.7729 0.7729 0.7729
Te 0.5000 0.5000 0.5000

Density of states at the Fermi level = 0.69 states/eV/f.u.
Space group = No. 166
Uncorrected formation energy = -0.31 eV/atom



RbW3N | PBE | relaxed

Cell: 4.6749 4.6749 4.6749 Å, 90.00 90.00 90.00°
Sites, in units of the cell vectors:
Rb 0.0000 0.0000 0.0000
W 0.0000 0.0000 0.5000
W 0.0000 0.5000 0.0000
W 0.5000 0.0000 0.0000
N 0.5000 0.5000 0.5000

Density of states at the Fermi level = 4.65 states/eV/f.u.
Space group = No. 221
Uncorrected formation energy = 5.13 eV/atom



MgNi2PI | PBE | relaxed

Cell: 4.5429 4.5429 5.6835 Å, 90.00 90.00 90.00°
Sites, in units of the cell vectors:
Mg 0.0000 0.0000 0.0000
Ni 0.0000 0.5000 0.5000
Ni 0.5000 0.0000 0.5000
P 0.5000 0.5000 0.0000
I 0.5000 0.5000 0.5000

Density of states at the Fermi level = 2.93 states/eV/f.u.
Space group = No. 123
Uncorrected formation energy = 0.96 eV/atom



Dy2Y5Th | PBE | relaxed

Cell: 6.5638 6.5638 15.9931 Å, 90.00 90.00 129.76°
Sites, in units of the cell vectors:
Dy 0.2193 0.7807 0.6286
Dy 0.2193 0.7807 0.8714
Dy 0.7807 0.2193 0.1286
Dy 0.7807 0.2193 0.3714
Y 0.0816 0.9184 0.0902
Y 0.0816 0.9184 0.4098
Y 0.3809 0.6191 0.0520
Y 0.3809 0.6191 0.4480
Y 0.4573 0.5427 0.7500
Y 0.5427 0.4573 0.2500
Y 0.6191 0.3809 0.5520
Y 0.6191 0.3809 0.9480
Y 0.9184 0.0816 0.5902
Y 0.9184 0.0816 0.9098
Th 0.2643 0.7357 0.2500
Th 0.7357 0.2643 0.7500

Calculated formation energy = 0.14 eV/atom
Density of states at the Fermi level = 13.16 states/eV/f.u.
Space group = No. 63



YTaRe2 | PBE | relaxed

Cell: 5.5187 5.5187 5.5187 Å, 138.29 138.29 60.46°
Sites, in units of the cell vectors:
Y 0.0000 0.0000 0.0000
Ta 0.7500 0.2500 0.5000
Re 0.2500 0.7500 0.5000
Re 0.5000 0.5000 0.0000

Calculated formation energy = 0.47 eV/atom
Density of states at the Fermi level = 3.54 states/eV/f.u.
Space group = No. 119



NaYSiSe4 | PBE | relaxed

Cell: 6.6923 6.9510 8.3151 Å, 90.00 106.08 90.00°
Sites, in units of the cell vectors:
Na 0.2318 0.2500 0.0566
Na 0.7682 0.7500 0.9434
Y 0.2279 0.2500 0.5554
Y 0.7721 0.7500 0.4446
Si 0.2362 0.7500 0.3170
Si 0.7638 0.2500 0.6830
Se 0.0046 0.0026 0.2691
Se 0.0046 0.4974 0.2691
Se 0.4260 0.7500 0.5903
Se 0.4386 0.7500 0.1411
Se 0.5614 0.2500 0.8589
Se 0.5740 0.2500 0.4097
Se 0.9954 0.5026 0.7309
Se 0.9954 0.9974 0.7309

Density of states at the Fermi level = 0.00 states/eV/f.u.
Space group = No. 11
Uncorrected formation energy = -1.13 eV/atom



TbMgCo4 | PBE | relaxed

Cell: 4.9742 4.9742 4.9742 Å, 60.00 60.00 60.00°
Sites, in units of the cell vectors:
Tb 0.0000 0.0000 0.0000
Mg 0.2500 0.2500 0.2500
Co 0.1270 0.6243 0.6243
Co 0.6243 0.1270 0.6243
Co 0.6243 0.6243 0.1270
Co 0.6243 0.6243 0.6243

Calculated formation energy = -0.14 eV/atom
Density of states at the Fermi level = 7.84 states/eV/f.u.
Space group = No. 216



VGe3Ir | PBE | relaxed

Cell: 4.7917 4.7917 4.7917 Å, 90.00 90.00 90.00°
Sites, in units of the cell vectors:
V 0.0000 0.0000 0.0000
Ge 0.0000 0.5000 0.5000
Ge 0.5000 0.0000 0.5000
Ge 0.5000 0.5000 0.0000
Ir 0.5000 0.5000 0.5000

Calculated formation energy = 0.75 eV/atom
Density of states at the Fermi level = 8.49 states/eV/f.u.
Space group = No. 221